Entry 1:
Computed, not measured: Eu2ZnRh at its PBEsol-relaxed geometry at the SCAN level of DFT.

Output
ΔH_f (0 K): -1.391 eV per formula unit

abc: 7.044 7.044 7.044
angles: 90.00 90.00 90.00
Space group Fm-3m (No. 225)
Symmetry-distinct sites (fractional):
1 Eu 0.250 0.250 0.250 [8 per cell]
2 Zn 0.000 0.000 0.000 [4 per cell]
3 Rh 0.000 0.000 0.500 [4 per cell]


Entry 2:
Computed, not measured: EuSb12Ru4 at its PBEsol-relaxed geometry at the SCAN level of DFT.

Output
Total DFT energy (no corrections): -1293.9 eV for the cell shown

abc: 9.266 9.266 9.266
angles: 90.00 90.00 90.00
Space group Im-3 (No. 204)
Symmetry-distinct sites (fractional):
1 Eu 0.000 0.000 0.000 [2 per cell]
2 Sb 0.000 0.341 0.159 [24 per cell]
3 Ru 0.250 0.250 0.250 [8 per cell]


Entry 3:
Computed, not measured: EuSi2Ru2 at its PBEsol-relaxed geometry at the SCAN level of DFT.

Output
Total DFT energy (no corrections): -295.0 eV for the cell shown

abc: 4.166 4.166 9.717
angles: 90.00 90.00 90.00
Space group I4/mmm (No. 139)
Symmetry-distinct sites (fractional):
1 Eu 0.000 0.000 0.000 [2 per cell]
2 Si 0.000 0.000 0.365 [4 per cell]
3 Ru 0.000 0.500 0.250 [4 per cell]


Entry 4:
Computed, not measured: Eu2SeS at its PBEsol-relaxed geometry at the SCAN level of DFT.

Output
Total DFT energy (no corrections): -439.4 eV for the cell shown

abc: 4.1413 4.1413 20.3246
angles: 90.00 90.00 120.00
Space group R-3m (No. 166, hexagonal axes)
Symmetry-distinct sites (fractional):
1 Eu 0.0000 0.0000 0.2465 [6 per cell]
2 Se 0.0000 0.0000 0.0000 [3 per cell]
3 S 0.0000 0.0000 0.5000 [3 per cell]


Entry 5:
Computed, not measured: Eu2SiS4 at its PBEsol-relaxed geometry at the SCAN level of DFT.

Output
Total DFT energy (no corrections): -336.4 eV for the cell shown

abc: 6.437 6.419 7.902
angles: 90.00 108.06 90.00
Space group P2_1/m (No. 11)
Symmetry-distinct sites (fractional):
1 Eu 0.222 0.250 0.053 [2 per cell]
2 Eu 0.267 0.250 0.568 [2 per cell]
3 Si 0.224 0.750 0.800 [2 per cell]
4 S 0.003 0.005 0.740 [4 per cell]
5 S 0.397 0.750 0.076 [2 per cell]
6 S 0.415 0.750 0.624 [2 per cell]


Entry 6:
Computed, not measured: Sm3Eu3S8 at its PBEsol-relaxed geometry at the SCAN level of DFT.

Output
Total DFT energy (no corrections): -808.6 eV for the cell shown

abc: 11.900 8.415 8.410
angles: 90.00 134.89 90.00
Space group C2 (No. 5)
Symmetry-distinct sites (fractional):
1 Sm 0.000 0.000 0.000 [2 per cell]
2 Sm 0.124 0.378 0.875 [4 per cell]
3 Eu 0.000 0.754 0.500 [2 per cell]
4 Eu 0.250 0.126 0.624 [4 per cell]
5 S 0.077 0.054 0.757 [4 per cell]
6 S 0.078 0.704 0.903 [4 per cell]
7 S 0.170 0.300 0.244 [4 per cell]
8 S 0.175 0.450 0.603 [4 per cell]


Entry 7:
Computed, not measured: TbEu4S5 at its PBEsol-relaxed geometry at the SCAN level of DFT.

Output
Total DFT energy (no corrections): -667.1 eV for the cell shown

abc: 4.012 4.012 28.362
angles: 90.00 90.00 90.00
Space group I4/mmm (No. 139)
Symmetry-distinct sites (fractional):
1 Tb 0.000 0.000 0.000 [2 per cell]
2 Eu 0.000 0.000 0.199 [4 per cell]
3 Eu 0.000 0.000 0.401 [4 per cell]
4 S 0.000 0.000 0.097 [4 per cell]
5 S 0.000 0.000 0.300 [4 per cell]
6 S 0.000 0.000 0.500 [2 per cell]


Entry 8:
Computed, not measured: EuZrS3 at its PBEsol-relaxed geometry at the SCAN level of DFT.

Output
Total DFT energy (no corrections): -494.4 eV for the cell shown

abc: 7.099 9.549 6.457
angles: 90.00 90.00 90.00
Space group Pnma (No. 62)
Symmetry-distinct sites (fractional):
1 Eu 0.100 0.250 0.038 [4 per cell]
2 Zr 0.000 0.000 0.500 [4 per cell]
3 S 0.027 0.750 0.381 [4 per cell]
4 S 0.189 0.559 0.823 [8 per cell]


| no. | total moment (μB/atom) | D(E_F) (states/eV/cell) | mass density (g/cm³) |
| --- | --- | --- | --- |
| 1 | 3.548 | 35.47 | 8.98 |
| 2 | 0.363 | 22.60 | 8.42 |
| 3 | 1.425 | 10.74 | 8.08 |
| 4 | 3.500 | 37.97 | 6.85 |
| 5 | 2.000 | 23.37 | 4.92 |
| 6 | 0.476 | 43.51 | 6.48 |
| 7 | 0.010 | 37.48 | 6.75 |
| 8 | 1.397 | 58.87 | 5.15 |